VASP calculation (PBEsol) on crystalline Ba2SnS4 at its relaxed geometry.

E_form (uncorrected) in eV/atom: -1.43

The structure in POSCAR format:
```
Ba2SnS4
1.0
-4.8938 -4.6495 2.9519
1.9934 -8.1014 -9.4555
12.9092 -7.6812 9.3027
Ba S Sn
16 32 8
direct
0.7729 0.2624 0.4430
0.3063 0.3804 0.1258
0.8046 0.6153 0.1889
0.6954 0.6153 0.6889
0.1954 0.1153 0.8111
0.3046 0.1153 0.3111
0.7174 0.9987 0.6262
0.7271 0.2624 0.9430
0.2826 0.4987 0.3738
0.1937 0.3804 0.6258
0.8063 0.8804 0.3742
0.2174 0.4987 0.8738
0.2729 0.7624 0.0570
0.7826 0.9987 0.1262
0.6937 0.8804 0.8742
0.2271 0.7624 0.5570
0.1360 0.1518 0.1499
0.8657 0.1122 0.3018
0.1497 0.7305 0.3872
0.2053 0.2704 0.4561
0.4794 0.8272 0.7015
0.5033 0.9087 0.2508
0.4585 0.9837 0.0074
0.6497 0.2305 0.1128
0.0206 0.8272 0.2015
0.5206 0.3272 0.2985
0.0033 0.4087 0.2492
0.9794 0.3272 0.7985
0.6343 0.1122 0.8018
0.4575 0.5443 0.5380
0.8640 0.6518 0.8501
0.7053 0.7704 0.0439
0.5425 0.0443 0.4620
0.9585 0.4837 0.4926
0.8503 0.2305 0.6128
0.9967 0.9087 0.7508
0.5415 0.4837 0.9926
0.1343 0.6122 0.6982
0.6360 0.6518 0.3501
0.9575 0.0443 0.9620
0.2947 0.2704 0.9561
0.3640 0.1518 0.6499
0.3657 0.6122 0.1982
0.0415 0.9837 0.5074
0.4967 0.4087 0.7492
0.0425 0.5443 0.0380
0.3503 0.7305 0.8872
0.7947 0.7704 0.5439
0.2260 0.1105 0.0245
0.7894 0.2698 0.2305
0.2740 0.1105 0.5245
0.7740 0.6105 0.9755
0.7106 0.2698 0.7305
0.2106 0.7698 0.7695
0.7260 0.6105 0.4755
0.2894 0.7698 0.2695
```

---

VASP calculation (PBEsol) on crystalline MgCrSi2O6 at its relaxed geometry.

E_form (uncorrected) in eV/atom: -2.44

The structure in POSCAR format:
```
MgCrSi2O6
1.0
-2.9002 -2.6682 -3.0055
4.1456 -0.6738 -5.0985
1.7694 -6.0520 1.9691
O Si Cr Mg
12 4 2 2
direct
0.0924 0.2915 0.4072
0.8633 0.0212 0.2224
0.6367 0.7776 0.9788
0.8688 0.3935 0.8452
0.1312 0.6065 0.1548
0.3688 0.8452 0.3935
0.9076 0.7085 0.5928
0.4076 0.5928 0.7085
0.6312 0.1548 0.6065
0.1367 0.9788 0.7776
0.3633 0.2224 0.0212
0.5924 0.4072 0.2915
0.2931 0.3881 0.2086
0.7069 0.6119 0.7914
0.2069 0.7914 0.6119
0.7931 0.2086 0.3881
0.2500 0.9018 0.0982
0.7500 0.0982 0.9018
0.7500 0.7255 0.2745
0.2500 0.2745 0.7255
```

---

VASP calculation (PBEsol) on crystalline Si2PtW at its relaxed geometry.

Polymorph energy (0 for the lowest one) in meV per atom: 0
E_form (uncorrected) in eV/atom: -0.33

The structure in POSCAR format:
```
Si2PtW
1.0
-0.6855 0.9884 -2.6933
-0.4263 -4.0716 -1.3857
-3.7528 0.8100 2.8676
Pt Si W
1 2 1
direct
0.2560 0.8213 0.5121
0.0061 0.9433 0.0123
0.7475 0.3107 0.4951
0.4903 0.4247 0.9806
```

---

VASP calculation (PBEsol) on crystalline Sr2TlCr at its relaxed geometry.

ΔH_f (0 K) in meV/atom: 278

The structure in POSCAR format:
```
Sr2TlCr
1.0
-3.6226 -0.6460 -1.0621
-0.8720 -1.0118 3.5896
-2.0545 8.4330 1.8779
Tl Sr Cr
1 2 1
direct
0.0000 0.0000 0.5579
0.0000 0.0000 0.9363
0.5000 0.5000 0.3162
0.5000 0.5000 0.6897
```

---

VASP calculation (PBEsol) on crystalline K2OsW at its relaxed geometry.

ΔH_f (0 K) in meV/atom: 1416
Polymorph energy (0 for the lowest one) in meV per atom: 0

The structure in POSCAR format:
```
K2OsW
1.0
3.7152 0.0000 0.0000
0.0000 3.7152 0.0000
0.0000 0.0000 5.8379
W K Os
1 2 1
direct
0.0000 0.0000 0.5000
0.5000 0.0000 0.0000
0.0000 0.5000 0.0000
0.5000 0.5000 0.5000
```

---

VASP calculation (PBEsol) on crystalline RbRu2Cl at its relaxed geometry.

E_form (uncorrected) in eV/atom: 1.84

The structure in POSCAR format:
```
RbRu2Cl
1.0
4.6889 0.0000 0.0000
2.3445 4.0607 0.0000
2.3445 1.3536 3.8285
Rb Cl Ru
1 1 2
direct
0.5000 0.5000 0.5000
0.0000 0.0000 0.0000
0.7500 0.7500 0.7500
0.2500 0.2500 0.2500
```

---

VASP calculation (PBEsol) on crystalline AlRhBr2 at its relaxed geometry.

Polymorph energy (0 for the lowest one) in meV per atom: 0
E_form (uncorrected) in eV/atom: 0.20

The structure in POSCAR format:
```
AlRhBr2
1.0
-1.0294 -3.6471 2.9291
4.5356 0.1475 -1.5221
-0.2626 4.3369 2.0080
Rh Al Br
1 1 2
direct
0.5000 0.5000 0.5000
0.5000 0.0000 0.0000
0.0000 0.0000 0.5000
0.0000 0.5000 0.0000
```

---

VASP calculation (PBEsol) on crystalline AlAuO2 at its relaxed geometry.

E_form (uncorrected) in eV/atom: -1.55

The structure in POSCAR format:
```
AlAuO2
1.0
4.9229 0.0000 0.0000
-2.4614 4.8667 -0.0306
0.0000 2.5165 4.2311
Au O Al
2 4 2
direct
0.7500 0.5000 0.7500
0.0000 0.0000 0.0000
0.8750 0.2500 0.5187
0.2313 0.7500 0.8750
0.5187 0.7500 0.3750
0.3750 0.2500 0.2313
0.5000 0.0000 0.5000
0.2500 0.5000 0.2500
```

---

VASP calculation (PBEsol) on crystalline NaCeHg2 at its relaxed geometry.

ΔH_f (0 K) in meV/atom: -279

The structure in POSCAR format:
```
NaCeHg2
1.0
5.1647 0.0000 0.0000
2.5823 4.4727 0.0000
2.5823 1.4909 4.2169
Na Ce Hg
1 1 2
direct
0.5000 0.5000 0.5000
0.0000 0.0000 0.0000
0.7500 0.7500 0.7500
0.2500 0.2500 0.2500
```

---

VASP calculation (PBEsol) on crystalline CdTe2As at its relaxed geometry.

Polymorph energy (0 for the lowest one) in meV per atom: 176
E_form (uncorrected) in eV/atom: 0.24

The structure in POSCAR format:
```
CdTe2As
1.0
-2.3007 -2.2409 -0.9029
0.9940 0.2584 -3.1742
5.8498 -6.5299 1.3003
Te Cd As
2 1 1
direct
0.0000 0.0000 0.9739
0.5000 0.5000 0.3077
0.5000 0.5000 0.7182
0.0000 0.0000 0.5002
```

---

VASP calculation (PBEsol) on crystalline Ba2TlFe at its relaxed geometry.

ΔH_f (0 K) in meV/atom: 335

The structure in POSCAR format:
```
Ba2TlFe
1.0
3.9077 0.0000 0.0000
0.0000 3.9077 0.0000
0.0000 0.0000 8.4938
Fe Tl Ba
1 1 2
direct
0.5000 0.5000 0.0000
0.5000 0.5000 0.5000
0.0000 0.0000 0.2263
0.0000 0.0000 0.7737
```

---

VASP calculation (PBEsol) on crystalline Tc3WO at its relaxed geometry.

E_form (uncorrected) in eV/atom: 2.59

The structure in POSCAR format:
```
Tc3WO
1.0
-1.5840 0.4877 4.3561
1.3294 -4.3602 0.9716
4.1768 1.5727 1.3427
W Tc O
1 3 1
direct
0.0000 0.0000 0.0000
0.0000 0.0000 0.5000
0.0000 0.5000 0.0000
0.5000 0.0000 0.0000
0.5000 0.5000 0.5000
```

---

DFT total energy values (in Ha/atom) by entry order: -0.189; -0.292; -0.309; -0.142; -0.208; -0.147; -0.139; -0.227; -0.094; -0.114; -0.134; -0.293.
Calculated density values (in g/cm3) by entry order: 4.2; 3.6; 13.0; 5.5; 9.3; 7.4; 5.8; 8.4; 9.6; 7.4; 6.8; 8.1.